# Na2CeTl9

An optimized crystal structure of Na2CeTl9 (PBE-GGA, the Alexandria database).

Computed properties:
Its formation energy is -0.102 eV per atom.

Cell lengths 4.8621, 4.8621, 14.6411 Å; angles 90.00, 90.00, 90.00 degrees
Closest atoms and distances in Å follow each position.
Fractional positions:
Tl 0.5000 0.5000 0.3300  8 Tl 3.42-3.48, 4 Na 3.44
Tl 0.5000 0.0000 0.1660  2 Na 3.40, 8 Tl 3.42-3.44, 2 Ce 3.44
Tl 0.5000 0.0000 0.8340  2 Na 3.40, 8 Tl 3.42-3.44, 2 Ce 3.44
Tl 0.5000 0.5000 0.6700  8 Tl 3.42-3.48, 4 Na 3.44
Tl 0.5000 0.5000 0.0000  8 Tl 3.44, 4 Ce 3.44
Tl 0.0000 0.5000 0.5000  8 Tl 3.44-3.48, 4 Na 3.49
Tl 0.0000 0.5000 0.1660  2 Na 3.40, 8 Tl 3.42-3.44, 2 Ce 3.44
Tl 0.5000 0.0000 0.5000  8 Tl 3.44-3.48, 4 Na 3.49
Tl 0.0000 0.5000 0.8340  2 Na 3.40, 8 Tl 3.42-3.44, 2 Ce 3.44
Ce 0.0000 0.0000 0.0000  12 Tl 3.44
Na 0.0000 0.0000 0.3286  12 Tl 3.40-3.49
Na 0.0000 0.0000 0.6714  12 Tl 3.40-3.49